[1]
RbScAgBr5: relaxed, GGA-PBE.

Summary:
Spin magnetization, μB per cell: 0.00
Uncorrected formation energy, eV/atom: -1.373

The structure in POSCAR format:
```
RbScAgBr5
1.0
4.5226 -6.4258 0.0000
4.5226 6.4258 0.0000
-3.5555 0.0000 9.7015
Rb Sc Ag Br
2 2 2 10
Direct
0.1577 0.8423 0.7500
0.8423 0.1577 0.2500
0.5000 0.5000 0.0000
0.5000 0.5000 0.5000
0.1865 0.8135 0.2500
0.8135 0.1865 0.7500
0.1429 0.2592 0.9425
0.2099 0.5932 0.4166
0.2592 0.1429 0.4425
0.4068 0.7901 0.0834
0.4371 0.5629 0.7500
0.5629 0.4371 0.2500
0.5932 0.2099 0.9166
0.7408 0.8571 0.5575
0.7901 0.4068 0.5834
0.8571 0.7408 0.0575
```

[2]
Rb3ScAg2Br8: relaxed, GGA-PBE.

Summary:
Spin magnetization, μB per cell: 0.00
Uncorrected formation energy, eV/atom: -1.298

The structure in POSCAR format:
```
Rb3ScAg2Br8
1.0
7.6882 0.0000 0.0000
-3.8441 6.6582 0.0000
0.0000 0.0000 10.2146
Rb Sc Ag Br
3 1 2 8
Direct
0.0000 0.0000 0.0000
0.3333 0.6667 0.6192
0.6667 0.3333 0.3808
0.0000 0.0000 0.5000
0.3333 0.6667 0.1878
0.6667 0.3333 0.8122
0.1607 0.3214 0.3446
0.1607 0.8393 0.3446
0.3214 0.1607 0.6554
0.3333 0.6667 0.9408
0.6667 0.3333 0.0592
0.6786 0.8393 0.3446
0.8393 0.1607 0.6554
0.8393 0.6786 0.6554
```

[3]
Rb3ScAg2Br9: relaxed, GGA-PBE.

Summary:
Spin magnetization, μB per cell: 0.00
Uncorrected formation energy, eV/atom: -1.247

The structure in POSCAR format:
```
Rb3ScAg2Br9
1.0
7.7512 0.0000 0.0000
-3.8756 6.7128 0.0000
0.0000 0.0000 9.6239
Rb Sc Ag Br
3 1 2 9
Direct
0.0000 0.0000 0.0000
0.3333 0.6667 0.6797
0.6667 0.3333 0.3203
0.0000 0.0000 0.5000
0.3333 0.6667 0.1601
0.6667 0.3333 0.8399
0.0000 0.5000 0.0000
0.1624 0.3249 0.3411
0.1624 0.8376 0.3411
0.3249 0.1624 0.6589
0.5000 0.0000 0.0000
0.5000 0.5000 0.0000
0.6751 0.8376 0.3411
0.8376 0.1624 0.6589
0.8376 0.6751 0.6589
```

[4]
RbAgSe2Br: relaxed, GGA-PBE.

Summary:
Offset from the most stable computed form, eV/f.u.: 4.80
Spin magnetization, μB per cell: 3.00
Uncorrected formation energy, eV/atom: 0.684

The structure in POSCAR format:
```
RbAgSe2Br
1.0
6.3161 0.0000 0.0000
0.0000 6.3161 0.0000
0.0000 0.0000 6.2597
Rb Ag Se Br
1 1 2 1
Direct
0.0000 0.0000 0.0000
0.5000 0.5000 0.5000
0.0000 0.5000 0.0000
0.5000 0.0000 0.0000
0.0000 0.0000 0.5000
```

[5]
Rb2AgSeBr: relaxed, GGA-PBE.

Summary:
Spin magnetization, μB per cell: 0.00
Uncorrected formation energy, eV/atom: -0.946

The structure in POSCAR format:
```
Rb2AgSeBr
1.0
6.6574 0.0000 0.0000
0.0000 6.6574 0.0000
0.0000 0.0000 4.8974
Rb Ag Se Br
2 1 1 1
Direct
0.0000 0.5000 0.0000
0.5000 0.0000 0.0000
0.0000 0.0000 0.5000
0.0000 0.0000 0.0000
0.5000 0.5000 0.5000
```

[6]
RbAgSe2Br: relaxed, GGA-PBE.

Summary:
Offset from the most stable computed form, eV/f.u.: 0.00
Spin magnetization, μB per cell: 0.93
Uncorrected formation energy, eV/atom: -0.275

The structure in POSCAR format:
```
RbAgSe2Br
1.0
5.1328 0.0000 0.0000
0.0000 5.1328 0.0000
0.0000 0.0000 5.8904
Rb Ag Se Br
1 1 2 1
Direct
0.0000 0.0000 0.0000
0.5000 0.5000 0.5000
0.0000 0.5000 0.5000
0.5000 0.0000 0.5000
0.5000 0.5000 0.0000
```

[7]
RbAgSeBr2: relaxed, GGA-PBE.

Summary:
Offset from the most stable computed form, eV/f.u.: 0.00
Spin magnetization, μB per cell: 1.22
Uncorrected formation energy, eV/atom: -0.542

The structure in POSCAR format:
```
RbAgSeBr2
1.0
5.6183 0.0000 0.0000
0.0000 5.6183 0.0000
0.0000 0.0000 5.1294
Rb Ag Se Br
1 1 1 2
Direct
0.0000 0.0000 0.0000
0.5000 0.5000 0.5000
0.5000 0.5000 0.0000
0.0000 0.5000 0.5000
0.5000 0.0000 0.5000
```

[8]
RbAgSeBr2: relaxed, GGA-PBE.

Summary:
Offset from the most stable computed form, eV/f.u.: 4.20
Spin magnetization, μB per cell: 2.05
Uncorrected formation energy, eV/atom: 0.298

The structure in POSCAR format:
```
RbAgSeBr2
1.0
6.3728 0.0000 0.0000
0.0000 6.3728 0.0000
0.0000 0.0000 6.1998
Rb Ag Se Br
1 1 1 2
Direct
0.0000 0.0000 0.0000
0.5000 0.5000 0.5000
0.0000 0.0000 0.5000
0.0000 0.5000 0.0000
0.5000 0.0000 0.0000
```

[9]
RbSmAgBr6: relaxed, GGA-PBE.

Summary:
Spin magnetization, μB per cell: 0.95
Uncorrected formation energy, eV/atom: -1.284

The structure in POSCAR format:
```
RbSmAgBr6
1.0
3.8625 -6.0675 0.0000
3.8625 6.0675 0.0000
-0.6400 0.0000 7.6956
Rb Sm Ag Br
1 1 1 6
Direct
0.0000 0.0000 0.0000
0.3326 0.6674 0.5000
0.6804 0.3196 0.5000
0.0157 0.3540 0.6849
0.0226 0.6163 0.2485
0.3837 0.9774 0.7515
0.4088 0.3643 0.2837
0.6357 0.5912 0.7163
0.6460 0.9843 0.3151
```

[10]
RbSmAgBr5: relaxed, GGA-PBE.

Summary:
Spin magnetization, μB per cell: 0.00
Uncorrected formation energy, eV/atom: -1.468

The structure in POSCAR format:
```
RbSmAgBr5
1.0
4.7340 -6.5813 0.0000
4.7340 6.5813 0.0000
-4.0596 0.0000 10.1060
Rb Sm Ag Br
2 2 2 10
Direct
0.1536 0.8464 0.7500
0.8464 0.1536 0.2500
0.5000 0.5000 0.0000
0.5000 0.5000 0.5000
0.1891 0.8109 0.2500
0.8109 0.1891 0.7500
0.1307 0.2500 0.9367
0.1925 0.5912 0.4041
0.2500 0.1307 0.4367
0.4088 0.8075 0.0959
0.4251 0.5749 0.7500
0.5749 0.4251 0.2500
0.5912 0.1925 0.9041
0.7500 0.8693 0.5633
0.8075 0.4088 0.5959
0.8693 0.7500 0.0633
```

[11]
RbSmAg2Br6: relaxed, GGA-PBE.

Summary:
Spin magnetization, μB per cell: 0.00
Uncorrected formation energy, eV/atom: -1.216

The structure in POSCAR format:
```
RbSmAg2Br6
1.0
3.7640 2.1731 6.8823
-3.7640 2.1731 6.8823
0.0000 -4.3463 6.8823
Rb Sm Ag Br
1 1 2 6
Direct
0.0000 0.0000 0.0000
0.4743 0.4743 0.4743
0.2841 0.2841 0.2841
0.8022 0.8022 0.8022
0.0593 0.6211 0.4708
0.2106 0.5392 0.8813
0.4708 0.0593 0.6211
0.5392 0.8813 0.2106
0.6211 0.4708 0.0593
0.8813 0.2106 0.5392
```

[12]
RbAg2SnBr8: relaxed, GGA-PBE.

Summary:
Spin magnetization, μB per cell: 0.00
Uncorrected formation energy, eV/atom: -0.664

The structure in POSCAR format:
```
RbAg2SnBr8
1.0
6.8091 0.0000 0.0000
0.5921 7.1022 0.0000
1.2841 2.8646 8.9948
Rb Ag Sn Br
1 2 1 8
Direct
0.0000 0.0000 0.0000
0.4376 0.4930 0.2060
0.5624 0.5070 0.7940
0.0000 0.5000 0.5000
0.1452 0.4935 0.7482
0.2488 0.7727 0.3344
0.2687 0.2265 0.4572
0.4994 0.7777 0.9434
0.5006 0.2223 0.0566
0.7313 0.7735 0.5428
0.7512 0.2273 0.6656
0.8548 0.5065 0.2518
```

Which formula does entry 3 have?
Rb3ScAg2Br9